Record 1
Here is an optimized crystal structure of LiPd from OQMD via LeMat-Bulk. Energies are from PBE.

Cell lengths 2.7884, 2.7884, 4.1606 Å; angles 90.00, 90.00, 120.00 degrees
Space group P-6m2 (No. 187)
Asymmetric unit:
Li 0.0000 0.0000 0.0000 x1
Pd 0.6667 0.3333 0.5000 x1

=====

Record 2
Here is an optimized crystal structure of Li2Pd from OQMD via LeMat-Bulk. Energies are from PBE.

Cell lengths 5.884, 5.884, 5.884 Å; angles 90.00, 90.00, 90.00 degrees
Space group Fm-3m (No. 225)
Asymmetric unit:
Li 0.250 0.250 0.250 x8
Pd 0.000 0.000 0.000 x4

=====

Record 3
Here is an optimized crystal structure of Li15Pd4 from OQMD via LeMat-Bulk. Energies are from PBE.

Cell lengths 10.423, 10.423, 10.423 Å; angles 90.00, 90.00, 90.00 degrees
Space group I-43d (No. 220)
Asymmetric unit:
Li 0.000 0.250 0.375 x12
Li 0.038 0.382 0.158 x48
Pd 0.044 0.456 0.544 x16

=====

Record 4
Here is an optimized crystal structure of Li3Pd from OQMD via LeMat-Bulk. Energies are from PBE.

Cell lengths 4.847, 4.847, 4.847 Å; angles 90.00, 90.00, 90.00 degrees
Space group Pm-3n (No. 223)
Asymmetric unit:
Li 0.000 0.250 0.500 x6
Pd 0.000 0.000 0.000 x2

=====

Record 5
Here is an optimized crystal structure of LiPd from OQMD via LeMat-Bulk. Energies are from PBE.

Cell lengths 4.790, 2.808, 4.417 Å; angles 90.00, 110.15, 90.00 degrees
Space group C2/m (No. 12)
Asymmetric unit:
Li 0.000 0.000 0.000 x2
Pd 0.000 0.500 0.500 x2

=====

Record 6
Here is an optimized crystal structure of LiPd5 from OQMD via LeMat-Bulk. Energies are from PBE.

Cell lengths 5.2317, 5.2317, 4.4724 Å; angles 90.00, 90.00, 120.00 degrees
Space group P6/mmm (No. 191)
Asymmetric unit:
Li 0.0000 0.0000 0.0000 x1
Pd 0.0000 0.5000 0.5000 x3
Pd 0.3333 0.6667 0.0000 x2

=====

Record 7
Here is an optimized crystal structure of Li24Pd5 from OQMD via LeMat-Bulk. Energies are from PBE.

Cell lengths 9.468, 9.468, 9.468 Å; angles 90.00, 90.00, 90.00 degrees
Space group I-43m (No. 217)
Asymmetric unit:
Li 0.050 0.355 0.645 x24
Li 0.087 0.087 0.728 x24
Pd 0.000 0.000 0.000 x2
Pd 0.183 0.183 0.183 x8

=====

Record 8
Here is an optimized crystal structure of LiPd from OQMD via LeMat-Bulk. Energies are from PBE.

Cell lengths 4.836, 4.836, 4.836 Å; angles 90.00, 90.00, 90.00 degrees
Space group Fm-3m (No. 225)
Asymmetric unit:
Li 0.000 0.000 0.000 x4
Pd 0.000 0.000 0.500 x4

=====

Record 9
Here is an optimized crystal structure of Li3Pd from OQMD via LeMat-Bulk. Energies are from PBE.

Cell lengths 6.078, 6.078, 6.078 Å; angles 90.00, 90.00, 90.00 degrees
Space group Fm-3m (No. 225)
Asymmetric unit:
Li 0.000 0.000 0.000 x4
Li 0.250 0.250 0.250 x8
Pd 0.000 0.000 0.500 x4

=====

Record 10
Here is an optimized crystal structure of Li2Pd from OQMD via LeMat-Bulk. Energies are from PBE.

Cell lengths 6.791, 6.791, 6.791 Å; angles 90.00, 90.00, 90.00 degrees
Space group Fd-3m (No. 227, origin choice 2)
Asymmetric unit:
Li 0.000 0.000 0.000 x16
Pd 0.125 0.125 0.625 x8

=====

Record 11
Here is an optimized crystal structure of LiPd from OQMD via LeMat-Bulk. Energies are from PBE.

Cell lengths 2.980, 2.980, 2.980 Å; angles 90.00, 90.00, 90.00 degrees
Space group Pm-3m (No. 221)
Asymmetric unit:
Li 0.000 0.000 0.000 x1
Pd 0.500 0.500 0.500 x1

=====

Record 12
Here is an optimized crystal structure of LiPd from OQMD via LeMat-Bulk. Energies are from PBE.

Cell lengths 5.309, 5.309, 5.309 Å; angles 90.00, 90.00, 90.00 degrees
Space group F-43m (No. 216)
Asymmetric unit:
Li 0.000 0.000 0.000 x4
Pd 0.250 0.250 0.750 x4

=====

Record 13
Here is an optimized crystal structure of Li2Pd from OQMD via LeMat-Bulk. Energies are from PBE.

Cell lengths 4.1984, 4.1984, 2.7052 Å; angles 90.00, 90.00, 120.00 degrees
Space group P6/mmm (No. 191)
Asymmetric unit:
Li 0.3333 0.6667 0.0000 x2
Pd 0.0000 0.0000 0.5000 x1

=====

Record 14
Here is an optimized crystal structure of Li2Pd from OQMD via LeMat-Bulk. Energies are from PBE.

Cell lengths 8.371, 3.800, 2.782 Å; angles 90.00, 109.30, 90.00 degrees
Space group C2/m (No. 12)
Asymmetric unit:
Li 0.160 0.000 0.160 x4
Pd 0.000 0.500 0.500 x2

=====

Record 15
Here is an optimized crystal structure of Li3Pd from OQMD via LeMat-Bulk. Energies are from PBE.

Cell lengths 3.821, 3.821, 3.798 Å; angles 90.00, 90.00, 90.00 degrees
Space group P4/mmm (No. 123)
Asymmetric unit:
Li 0.000 0.000 0.000 x1
Li 0.000 0.500 0.500 x2
Pd 0.500 0.500 0.000 x1

=====

Record 16
Here is an optimized crystal structure of LiPd from OQMD via LeMat-Bulk. Energies are from PBE.

Cell lengths 2.7857, 2.7857, 12.4416 Å; angles 90.00, 90.00, 120.00 degrees
Space group P-3m1 (No. 164)
Asymmetric unit:
Li 0.0000 0.0000 0.0000 x1
Li 0.3333 0.6667 0.6663 x2
Pd 0.0000 0.0000 0.5000 x1
Pd 0.3333 0.6667 0.1669 x2

=====

Record 17
Here is an optimized crystal structure of LiPmPd from OQMD via LeMat-Bulk. Energies are from PBE.

Cell lengths 6.665, 6.665, 6.665 Å; angles 90.00, 90.00, 90.00 degrees
Space group F-43m (No. 216)
Asymmetric unit:
Li 0.000 0.000 0.000 x4
Pm 0.000 0.000 0.500 x4
Pd 0.250 0.250 0.250 x4

=====

Record 18
Here is an optimized crystal structure of LiPmPd from OQMD via LeMat-Bulk. Energies are from PBE.

Cell lengths 6.689, 6.689, 6.689 Å; angles 90.00, 90.00, 90.00 degrees
Space group F-43m (No. 216)
Asymmetric unit:
Li 0.000 0.000 0.000 x4
Pm 0.250 0.250 0.250 x4
Pd 0.000 0.000 0.500 x4

=====

Record 19
Here is an optimized crystal structure of LiPm2Pd5 from OQMD via LeMat-Bulk. Energies are from PBE.

Cell lengths 6.028, 6.028, 8.092 Å; angles 90.00, 90.00, 90.00 degrees
Space group I4mm (No. 107)
Asymmetric unit:
Li 0.000 0.000 0.000 x2
Pm 0.000 0.500 0.496 x4
Pd 0.000 0.000 0.495 x2
Pd 0.249 0.249 0.746 x8

=====

Record 20
Here is an optimized crystal structure of LiPrPd from OQMD via LeMat-Bulk. Energies are from PBE.

Cell lengths 6.775, 6.775, 6.775 Å; angles 90.00, 90.00, 90.00 degrees
Space group F-43m (No. 216)
Asymmetric unit:
Li 0.000 0.000 0.000 x4
Pr 0.250 0.250 0.250 x4
Pd 0.000 0.000 0.500 x4

=====

Record 21
Here is an optimized crystal structure of LiPrPd from OQMD via LeMat-Bulk. Energies are from PBE.

Cell lengths 6.746, 6.746, 6.746 Å; angles 90.00, 90.00, 90.00 degrees
Space group F-43m (No. 216)
Asymmetric unit:
Li 0.000 0.000 0.000 x4
Pr 0.000 0.000 0.500 x4
Pd 0.250 0.250 0.250 x4

=====

Record 22
Here is an optimized crystal structure of LiPr2Pd5 from OQMD via LeMat-Bulk. Energies are from PBE.

Cell lengths 6.080, 6.080, 8.236 Å; angles 90.00, 90.00, 90.00 degrees
Space group I4mm (No. 107)
Asymmetric unit:
Li 0.000 0.000 0.000 x2
Pr 0.000 0.500 0.424 x4
Pd 0.000 0.000 0.418 x2
Pd 0.240 0.240 0.678 x8

=====

Record 23
Here is an optimized crystal structure of LiPrPdS3 from OQMD via LeMat-Bulk. Energies are from PBE.

Cell lengths 3.909, 12.537, 10.642 Å; angles 90.00, 90.00, 90.00 degrees
Space group Cmcm (No. 63)
Asymmetric unit:
Li 0.000 0.220 0.250 x4
Pr 0.000 0.000 0.000 x4
Pd 0.000 0.495 0.750 x4
S 0.000 0.104 0.750 x4
S 0.000 0.354 0.595 x8

=====

Record 24
Here is an optimized crystal structure of LiPrTe3Pd from OQMD via LeMat-Bulk. Energies are from PBE.

Cell lengths 4.317, 15.558, 10.379 Å; angles 90.00, 90.00, 90.00 degrees
Space group Cmcm (No. 63)
Asymmetric unit:
Li 0.000 0.236 0.250 x4
Pr 0.000 0.000 0.000 x4
Te 0.000 0.116 0.750 x4
Te 0.000 0.362 0.599 x8
Pd 0.000 0.498 0.250 x4

=====

Record 25
Here is an optimized crystal structure of Li3Pd2Pt from OQMD via LeMat-Bulk. Energies are from PBE.

Cell lengths 2.7633, 2.7633, 12.5211 Å; angles 90.00, 90.00, 120.00 degrees
Space group P-3m1 (No. 164)
Asymmetric unit:
Li 0.0000 0.0000 0.0000 x1
Li 0.3333 0.6667 0.6672 x2
Pd 0.3333 0.6667 0.1664 x2
Pt 0.0000 0.0000 0.5000 x1

=====

Record 26
Here is an optimized crystal structure of Li6PdPt from OQMD via LeMat-Bulk. Energies are from PBE.

Cell lengths 4.273, 4.273, 6.030 Å; angles 90.00, 90.00, 90.00 degrees
Space group P4/mmm (No. 123)
Asymmetric unit:
Li 0.000 0.000 0.000 x1
Li 0.000 0.500 0.247 x4
Li 0.500 0.500 0.500 x1
Pd 0.000 0.000 0.500 x1
Pt 0.500 0.500 0.000 x1

=====

Listing calculated density for the structures above in their given order: 6.719, 3.922, 3.108, 3.712, 6.750, 8.443, 2.734, 6.659, 3.765, 5.103, 7.112, 5.033, 4.837, 4.784, 3.812, 6.754, 5.795, 5.733, 9.363, 5.432, 5.502, 8.954, 4.463, 6.071, 8.598, 5.176 Mg/m³.
Listing raw total energy for the structures above in their given order: -3.987, -3.123, -2.862, -3.007, -3.985, -4.620, -2.614, -3.623, -3.031, -3.196, -3.968, -3.043, -3.382, -3.384, -2.996, -3.984, -4.323, -3.917, -5.415, -3.900, -4.310, -5.367, -5.106, -4.418, -4.186, -3.200 eV/atom.